{
  "formula": "VHN2O",
  "functional": "PBE with a Hubbard U",
  "state": "relaxed",
  "final_energy_ev_per_atom": -5.382,
  "m_tot_mub_per_cell": 0.1,
  "cell": [[-1.502, -0.507, -2.416], [2.206, -1.545, -1.047], [-1.652, -3.561, 1.773]],
  "species": ["N", "N", "O", "V", "H"],
  "fractional_positions": [[0.500, 0.000, 0.000], [0.000, 0.500, 0.000], [0.000, 0.000, 0.500], [0.500, 0.500, 0.500], [0.000, 0.000, 0.000]]
}